Ba2AlNiTe: optimized geometry, PBE.

Raw formation energy ... -14.16 kcal/mol of atoms
V ... 166 Å³/cell
ρ ... 4.89 Mg/m³

Lattice parameters (Å, degrees): 5.978 5.978 4.638 90.00 90.00 90.00
Element x y z (fractional)
Ba 0.000 0.500 0.000
Ba 0.500 0.000 0.000
Al 0.000 0.000 0.500
Ni 0.000 0.000 0.000
Te 0.500 0.500 0.500


BaHg2Pb: optimized geometry, PBE.

V ... 128 Å³/cell
ρ ... 9.64 Mg/m³
Energy of formation ... -1.3 eV per formula unit
Excess energy over the best structure of this formula in the dataset ... 41 kJ/mol of formula units

Lattice parameters (Å, degrees): 5.603 5.603 5.603 117.64 117.64 94.14
Element x y z (fractional)
Ba 0.000 0.000 0.000
Hg 0.250 0.750 0.500
Hg 0.500 0.500 0.000
Pb 0.750 0.250 0.500


Sb2Ru2Au: optimized geometry, PBE.

Raw formation energy ... 0.52 kcal/mol of atoms
V ... 181 Å³/cell
ρ ... 11.78 Mg/m³

Lattice parameters (Å, degrees): 7.559 7.559 3.172 90.00 90.00 90.00
Element x y z (fractional)
Sb 0.155 0.345 0.000
Sb 0.345 0.845 0.000
Sb 0.655 0.155 0.000
Sb 0.845 0.655 0.000
Ru 0.142 0.642 0.500
Ru 0.358 0.142 0.500
Ru 0.642 0.858 0.500
Ru 0.858 0.358 0.500
Au 0.000 0.000 0.500
Au 0.500 0.500 0.500